[1]
A plane-wave DFT calculation with PBE-GGA was carried out for a relaxed Zr2ReTe crystal.

Geometry as POSCAR:
```
Zr2ReTe
1.0
3.857 0.000 0.000
0.000 3.875 0.000
0.000 0.000 6.083
Zr Re Te
2 1 1
Cartesian
0.000 0.000 0.000
1.928 1.938 1.990
1.928 1.938 5.564
0.000 0.000 3.140
```

Properties
M_tot   0.000 Bohr magnetons per cell
Space group   Pmm2, No. 25
Calculated volume   90.9 Å³ per cell
Formation energy without anion corrections   -87 meV/atom


[2]
A plane-wave DFT calculation with PBE-GGA was carried out for a relaxed Zr2ReTe crystal.

Geometry as POSCAR:
```
Zr2ReTe
1.0
0.000 3.409 3.409
3.409 0.000 3.409
3.409 3.409 0.000
Zr Re Te
2 1 1
Cartesian
0.000 0.000 0.000
1.704 1.704 1.704
3.409 3.409 3.409
5.113 5.113 5.113
```

Properties
M_tot   1.488 Bohr magnetons per cell
Space group   F-43m, No. 216
Calculated volume   79.2 Å³ per cell
Formation energy without anion corrections   169 meV/atom